Material: CeDyPdS3
Method: DFT, PBE-GGA
State: optimized geometry

```
12
Lattice="-0.756 -1.473 -3.486 7.267 2.054 -2.443 1.225 -7.960 3.098" Properties=species:S:1:pos:R:3 pbc="T T T"
S 1.550 -7.124 1.607
Ce 1.422 -1.953 -0.551
S 5.808 -2.843 -1.126
Pd 1.313 -4.875 0.708
Dy 4.919 -0.394 -1.967
Pd 6.424 -2.504 -3.538
Ce 6.314 -5.426 -2.280
S 2.659 -1.473 -3.158
Dy 2.818 -6.985 -0.863
S 1.929 -4.536 -1.705
S 6.187 -0.255 -4.437
S 5.078 -5.906 0.327
```

Results
Spin magnetization, μB/cell: 1.69
Theoretical density, Mg/m³: 6.5
DOS(E_F), states/eV per atom: 0.942
Energy relative to the elements, uncorrected, kcal/mol of atoms: -38.932